Record 1
Here is crystalline K2BaIn at its relaxed geometry from Alexandria via LeMat-Bulk. Energies are from PBE-GGA.

Calculated values
E_form, meV/atom: 78
E_tot, eV/atom: -1.6359

a = 5.3228 Å, b = 5.3228 Å, c = 14.8361 Å
α = 79.67°, β = 79.67°, γ = 90.00°
With the nearest neighbours (Å) after each atom.
Fractional positions:
K: 0.8750 0.8453 0.7500  2 K 3.55
K: 0.3750 0.4047 0.7500  2 K 3.55
K: 0.1547 0.6250 0.2500  2 K 3.55
K: 0.5953 0.1250 0.2500  2 K 3.55
In: 0.5000 0.5000 0.0000  4 Ba 3.76, 4 K 4.00
In: 0.2500 0.7500 0.5000  4 Ba 3.76, 4 K 4.00
Ba: 0.0000 0.0000 0.0000  4 In 3.76, 4 K 4.11
Ba: 0.7500 0.2500 0.5000  4 In 3.76, 4 K 4.11

Record 2
Here is crystalline K2BaIn at its relaxed geometry from Alexandria via LeMat-Bulk. Energies are from PBE-GGA.

Calculated values
E_form, meV/atom: -14
E_tot, eV/atom: -1.7285

a = 6.8046 Å, b = 6.8046 Å, c = 8.3695 Å
α = 66.54°, β = 66.54°, γ = 38.40°
With the nearest neighbours (Å) after each atom.
Fractional positions:
K: 0.2640 0.2640 0.2610  2 In 3.64, 1 K 4.00
K: 0.0685 0.0685 0.9949  2 In 3.67, 1 K 4.00
Ba: 0.4416 0.4416 0.6199  3 In 3.55-3.67
In: 0.7259 0.7259 0.6242  3 Ba 3.55-3.67, 4 K 3.64-3.67

Record 3
Here is crystalline KBa2In at its relaxed geometry from Alexandria via LeMat-Bulk. Energies are from PBE-GGA.

Calculated values
E_form, meV/atom: 154
E_tot, eV/atom: -1.7667

a = 5.6018 Å, b = 5.6018 Å, c = 13.4414 Å
α = 77.97°, β = 77.97°, γ = 90.00°
With the nearest neighbours (Å) after each atom.
Fractional positions:
K: 0.5000 0.5000 0.0000  4 Ba 3.82, 4 In 3.96
K: 0.2500 0.7500 0.5000  4 Ba 3.82, 4 In 3.96
Ba: 0.3750 0.3511 0.7500  2 In 3.73, 4 Ba 3.78-4.15, 2 K 3.82
Ba: 0.8750 0.8989 0.7500  2 In 3.73, 4 Ba 3.78-4.15, 2 K 3.82
Ba: 0.6489 0.1250 0.2500  2 In 3.73, 4 Ba 3.78-4.15, 2 K 3.82
Ba: 0.1011 0.6250 0.2500  2 In 3.73, 4 Ba 3.78-4.15, 2 K 3.82
In: 0.7500 0.2500 0.5000  4 Ba 3.73, 4 K 3.96
In: 0.0000 0.0000 0.0000  4 Ba 3.73, 4 K 3.96

Record 4
Here is crystalline KBa2LiIn at its relaxed geometry from Alexandria via LeMat-Bulk. Energies are from PBE-GGA.

Calculated values
E_form, meV/atom: 2
E_tot, eV/atom: -1.9175

a = 6.8755 Å, b = 6.8755 Å, c = 5.6181 Å
α = 90.00°, β = 90.00°, γ = 90.00°
With the nearest neighbours (Å) after each atom.
Fractional positions:
Li: 0.0000 0.0000 0.5000  2 In 2.81
Ba: 0.0000 0.5000 0.0000  2 In 3.44
Ba: 0.5000 0.0000 0.0000  2 In 3.44
K: 0.5000 0.5000 0.5000  8 Ba 4.44, 4 Li 4.86
In: 0.0000 0.0000 0.0000  2 Li 2.81

Record 5
Here is crystalline KBaLiIn at its relaxed geometry from Alexandria via LeMat-Bulk. Energies are from PBE-GGA.

Calculated values
E_form, meV/atom: -20
E_tot, eV/atom: -1.9382

a = 6.0482 Å, b = 6.0482 Å, c = 6.0482 Å
α = 60.00°, β = 60.00°, γ = 60.00°
With the nearest neighbours (Å) after each atom.
Fractional positions:
Ba: 0.5000 0.5000 0.5000  4 In 3.70, 4 Li 3.70
In: 0.7500 0.7500 0.7500  4 Ba 3.70, 4 K 3.70
K: 0.0000 0.0000 0.0000  4 In 3.70, 4 Li 3.70
Li: 0.2500 0.2500 0.2500  4 Ba 3.70, 4 K 3.70

Record 6
Here is crystalline KBaMgIn at its relaxed geometry from Alexandria via LeMat-Bulk. Energies are from PBE-GGA.

Calculated values
E_form, meV/atom: -94
E_tot, eV/atom: -1.9319

a = 5.7879 Å, b = 5.7879 Å, c = 5.7879 Å
α = 60.00°, β = 60.00°, γ = 60.00°
With the nearest neighbours (Å) after each atom.
Fractional positions:
K: 0.2500 0.2500 0.2500  4 Ba 3.54, 4 Mg 3.54
Mg: 0.0000 0.0000 0.0000  4 K 3.54, 4 In 3.54
In: 0.7500 0.7500 0.7500  4 Mg 3.54, 4 Ba 3.54
Ba: 0.5000 0.5000 0.5000  4 In 3.54, 4 K 3.54

Record 7
Here is crystalline KBa2NaIn at its relaxed geometry from Alexandria via LeMat-Bulk. Energies are from PBE-GGA.

Calculated values
E_form, meV/atom: 0
E_tot, eV/atom: -1.8003

a = 6.8454 Å, b = 6.8454 Å, c = 6.2632 Å
α = 90.00°, β = 90.00°, γ = 90.00°
With the nearest neighbours (Å) after each atom.
Fractional positions:
Na: 0.0000 0.0000 0.5000  2 In 3.13
Ba: 0.0000 0.5000 0.0000  2 In 3.42
Ba: 0.5000 0.0000 0.0000  2 In 3.42
K: 0.5000 0.5000 0.5000  8 Ba 4.64, 4 Na 4.84
In: 0.0000 0.0000 0.0000  2 Na 3.13, 4 Ba 3.42

Record 8
Here is crystalline KBaNaIn at its relaxed geometry from Alexandria via LeMat-Bulk. Energies are from PBE-GGA.

Calculated values
E_form, meV/atom: -53
E_tot, eV/atom: -1.8221

a = 6.1836 Å, b = 6.1836 Å, c = 6.1836 Å
α = 60.00°, β = 60.00°, γ = 60.00°
With the nearest neighbours (Å) after each atom.
Fractional positions:
Na: 0.0000 0.0000 0.0000  4 K 3.79, 4 Ba 3.79
Ba: 0.7500 0.7500 0.7500  4 In 3.79, 4 Na 3.79
K: 0.2500 0.2500 0.2500  4 In 3.79, 4 Na 3.79
In: 0.5000 0.5000 0.5000  4 Ba 3.79, 4 K 3.79